Record 1
# Zr2HO

A geometry-optimized Zr2HO structure (PBE-GGA, Alexandria via LeMat-Bulk).

```
data_Zr2HO
_cell_length_a 6.635
_cell_length_b 12.918
_cell_length_c 5.515
_cell_angle_alpha 90.00
_cell_angle_beta 124.64
_cell_angle_gamma 90.00
_space_group_name_H-M_alt 'C 1 2/c 1'
_space_group_IT_number 15
loop_
_space_group_symop_operation_xyz
'x,y,z'
'-x,-y,-z'
'-x,y,-z+1/2'
'x,-y,z+1/2'
'x+1/2,y+1/2,z'
'-x+1/2,-y+1/2,-z'
'-x+1/2,y+1/2,-z+1/2'
'x+1/2,-y+1/2,z+1/2'
loop_
_atom_site_label
_atom_site_fract_x
_atom_site_fract_y
_atom_site_fract_z
_atom_site_occupancy
Zr1 0.242 0.063 0.244 1
Zr2 0.247 0.188 0.747 1
H1 0.000 0.060 0.750 1
H2 0.000 0.186 0.250 1
O1 0.000 0.317 0.750 1
O2 0.000 0.440 0.250 1
```

Summary:
E_tot = -7.78 eV per atom
Calculated density = 6812 kg/m³
DOS(E_F) = 0.37 states/eV/atom
E above lowest polymorph = 0.0000 eV/atom

Record 2
# LiTh2Si

A geometry-optimized LiTh2Si structure (PBE-GGA, Alexandria via LeMat-Bulk).

```
data_LiTh2Si
_cell_length_a 3.8508
_cell_length_b 3.8508
_cell_length_c 31.7255
_cell_angle_alpha 90.00
_cell_angle_beta 90.00
_cell_angle_gamma 120.00
_space_group_name_H-M_alt 'R -3 m'
_space_group_IT_number 166
_space_group_name_Hall '-R 3 2"'
loop_
_atom_site_label
_atom_site_fract_x
_atom_site_fract_y
_atom_site_fract_z
_atom_site_occupancy
Li1 0.0000 0.0000 0.0000 1
Th1 0.0000 0.0000 0.1108 1
Si1 0.0000 0.0000 0.5000 1
```

Summary:
E_tot = -5.45 eV per atom
Calculated density = 6103 kg/m³
DOS(E_F) = 1.06 states/eV/atom
E above lowest polymorph = 0.3157 eV/atom
E_form (uncorrected) = 0.099 eV/atom

Record 3
# AlMoOs4

A geometry-optimized AlMoOs4 structure (PBE-GGA, Alexandria via LeMat-Bulk).

```
data_AlMoOs4
_cell_length_a 7.235
_cell_length_b 7.235
_cell_length_c 7.235
_cell_angle_alpha 90.00
_cell_angle_beta 90.00
_cell_angle_gamma 90.00
_space_group_name_H-M_alt 'F -4 3 m'
_space_group_IT_number 216
_space_group_name_Hall 'F -4 2 3'
loop_
_atom_site_label
_atom_site_fract_x
_atom_site_fract_y
_atom_site_fract_z
_atom_site_occupancy
Al1 0.000 0.000 0.000 1
Mo1 0.250 0.250 0.750 1
Os1 0.125 0.125 0.375 1
```

Summary:
DFT formation energy = 2.7 eV/f.u.
E_tot = -9.47 eV per atom
Calculated density = 15500 kg/m³
DOS(E_F) = 1.35 states/eV/atom

Record 4
# Li2MnFeC

A geometry-optimized Li2MnFeC structure (PBE-GGA, Alexandria via LeMat-Bulk).

```
data_Li2MnFeC
_cell_length_a 4.384
_cell_length_b 4.384
_cell_length_c 3.618
_cell_angle_alpha 90.00
_cell_angle_beta 90.00
_cell_angle_gamma 90.00
_space_group_name_H-M_alt 'P 4/m m m'
_space_group_IT_number 123
_space_group_name_Hall '-P 4 2'
loop_
_atom_site_label
_atom_site_fract_x
_atom_site_fract_y
_atom_site_fract_z
_atom_site_occupancy
Li1 0.000 0.500 0.000 1
Mn1 0.000 0.000 0.000 1
Fe1 0.500 0.500 0.500 1
C1 0.000 0.000 0.500 1
```

Summary:
DFT formation energy = 6.3 eV/f.u.
E_tot = -4.88 eV per atom
Calculated density = 3264 kg/m³
DOS(E_F) = 1.31 states/eV/atom